(1)
DFT (PBE-GGA) results for NaY2Au3 after structural relaxation.

Energy relative to the elements in eV/atom: -0.675
Total moment in μB/cell: 0.0

Lattice parameters (Å, degrees): 3.589 3.589 10.851 90.00 90.00 90.00
Element x y z (fractional)
Na (0.500, 0.500, 0.500)
Au (0.000, 0.000, 0.000)
Au (0.000, 0.000, 0.680)
Au (0.000, 0.000, 0.320)
Y (0.500, 0.500, 0.829)
Y (0.500, 0.500, 0.171)


(2)
DFT (PBE-GGA) results for Na2YAu after structural relaxation.

Energy relative to the elements in eV/atom: 0.052
Total moment in μB/cell: 0.0

Lattice parameters (Å, degrees): 9.008 9.008 7.004 49.98 49.98 90.00
Element x y z (fractional)
Na (0.688, 0.125, 0.250)
Na (0.062, 0.625, 0.250)
Na (0.375, 0.312, 0.750)
Na (0.875, 0.938, 0.750)
Y (0.250, 0.750, 0.500)
Y (0.500, 0.500, 0.000)
Au (0.000, 0.000, 0.000)
Au (0.750, 0.250, 0.500)


(3)
DFT (PBE-GGA) results for NaY3Au4 after structural relaxation.

Energy relative to the elements in eV/atom: -0.741
Total moment in μB/cell: 0.0

Lattice parameters (Å, degrees): 5.054 5.054 8.809 73.33 73.33 60.00
Element x y z (fractional)
Au (0.379, 0.379, 0.863)
Au (0.867, 0.867, 0.398)
Au (0.133, 0.133, 0.602)
Au (0.621, 0.621, 0.137)
Y (0.500, 0.500, 0.500)
Y (0.255, 0.255, 0.235)
Y (0.745, 0.745, 0.765)
Na (0.000, 0.000, 0.000)


(4)
DFT (PBE-GGA) results for Na2YZnAu after structural relaxation.

Energy relative to the elements in eV/atom: 1.007
Total moment in μB/cell: 1.3

Lattice parameters (Å, degrees): 6.413 5.487 6.413 90.00 90.00 90.00
Site moments in Bohr magnetons follow the coordinates.
Element x y z (fractional)
Au (0.500, 0.500, 0.500)  0.00
Na (0.500, 0.000, 0.000)  0.03
Na (0.000, 0.000, 0.500)  0.02
Y (0.000, 0.000, 0.000)  0.50
Zn (0.000, 0.500, 0.000)  0.06


(5)
DFT (PBE-GGA) results for NaYbAu2 after structural relaxation.

Energy relative to the elements in eV/atom: -0.662
Total moment in μB/cell: 0.0

Lattice parameters (Å, degrees): 5.007 5.008 5.008 60.00 60.00 60.00
Element x y z (fractional)
Au (0.500, 0.500, 0.500)
Au (0.000, 0.000, 0.000)
Yb (0.250, 0.250, 0.250)
Na (0.750, 0.750, 0.750)


(6)
DFT (PBE-GGA) results for Na3Zn2Au6 after structural relaxation.

Energy relative to the elements in eV/atom: -0.298
Total moment in μB/cell: 0.0

Lattice parameters (Å, degrees): 8.501 8.501 8.501 109.47 109.47 109.47
Element x y z (fractional)
Au (0.357, 0.679, 0.679)
Au (0.000, 0.679, 0.321)
Au (0.321, 0.643, 0.321)
Au (0.321, 0.679, 0.000)
Au (0.679, 0.679, 0.357)
Au (0.643, 0.321, 0.321)
Au (0.000, 0.321, 0.679)
Au (0.321, 0.321, 0.643)
Au (0.321, 0.000, 0.679)
Au (0.679, 0.000, 0.321)
Au (0.679, 0.357, 0.679)
Au (0.679, 0.321, 0.000)
Na (0.696, 0.696, 0.000)
Na (0.304, 0.304, 0.000)
Na (0.000, 0.696, 0.696)
Na (0.696, 0.000, 0.696)
Na (0.304, 0.000, 0.304)
Na (0.000, 0.304, 0.304)
Zn (0.500, 0.000, 0.000)
Zn (0.000, 0.500, 0.000)
Zn (0.000, 0.000, 0.500)
Zn (0.500, 0.500, 0.500)


(7)
DFT (PBE-GGA) results for NaZnAu2 after structural relaxation.

Energy relative to the elements in eV/atom: -0.072
Total moment in μB/cell: 0.0

Lattice parameters (Å, degrees): 5.267 5.267 9.444 73.81 73.81 90.00
Element x y z (fractional)
Au (0.875, 0.125, 0.250)
Au (0.875, 0.625, 0.250)
Au (0.875, 0.125, 0.750)
Au (0.375, 0.125, 0.750)
Na (0.250, 0.750, 0.500)
Na (0.500, 0.500, 0.000)
Zn (0.000, 0.000, 0.000)
Zn (0.750, 0.250, 0.500)


(8)
DFT (PBE-GGA) results for NaZn2Au after structural relaxation.

Energy relative to the elements in eV/atom: -0.074
Total moment in μB/cell: 0.0

Lattice parameters (Å, degrees): 3.374 3.374 6.608 90.00 90.00 90.00
Element x y z (fractional)
Au (0.500, 0.500, 0.000)
Zn (0.000, 0.000, 0.212)
Zn (0.000, 0.000, 0.788)
Na (0.500, 0.500, 0.500)


(9)
DFT (PBE-GGA) results for NaZn6Au3 after structural relaxation.

Energy relative to the elements in eV/atom: -0.145
Total moment in μB/cell: 0.0

Lattice parameters (Å, degrees): 4.003 8.614 10.847 104.98 90.00 90.00
Element x y z (fractional)
Au (0.250, 0.641, 0.185)
Au (0.750, 0.710, 0.563)
Au (0.750, 0.359, 0.815)
Au (0.250, 0.876, 0.940)
Au (0.250, 0.290, 0.437)
Au (0.750, 0.124, 0.060)
Zn (0.250, 0.906, 0.525)
Zn (0.750, 0.423, 0.588)
Zn (0.750, 0.443, 0.074)
Zn (0.250, 0.557, 0.926)
Zn (0.250, 0.577, 0.412)
Zn (0.750, 0.782, 0.074)
Zn (0.250, 0.218, 0.926)
Zn (0.250, 0.323, 0.198)
Zn (0.250, 0.213, 0.664)
Zn (0.750, 0.094, 0.475)
Zn (0.750, 0.787, 0.336)
Zn (0.750, 0.677, 0.802)
Na (0.750, 0.998, 0.764)
Na (0.250, 0.002, 0.236)


(10)
DFT (PBE-GGA) results for NaZn2Au after structural relaxation.

Energy relative to the elements in eV/atom: -0.168
Total moment in μB/cell: 0.0

Lattice parameters (Å, degrees): 4.458 4.458 5.763 67.25 67.25 60.00
Element x y z (fractional)
Zn (0.302, 0.302, 0.095)
Zn (0.698, 0.698, 0.905)
Na (0.500, 0.500, 0.500)
Au (0.000, 0.000, 0.000)


(11)
DFT (PBE-GGA) results for NaZn5Au6 after structural relaxation.

Energy relative to the elements in eV/atom: -0.201
Total moment in μB/cell: 0.0

Lattice parameters (Å, degrees): 4.568 6.482 7.369 90.00 112.86 90.00
Element x y z (fractional)
Zn (0.000, 0.500, 0.000)
Zn (0.650, 0.500, 0.325)
Zn (0.657, 0.000, 0.320)
Zn (0.350, 0.500, 0.675)
Zn (0.343, 0.000, 0.680)
Au (0.167, 0.254, 0.350)
Au (0.167, 0.746, 0.350)
Au (0.833, 0.254, 0.650)
Au (0.500, 0.264, 0.000)
Au (0.833, 0.746, 0.650)
Au (0.500, 0.736, 0.000)
Na (0.000, 0.000, 0.000)


(12)
DFT (PBE-GGA) results for NaZnAu3 after structural relaxation.

Energy relative to the elements in eV/atom: -0.197
Total moment in μB/cell: 0.0

Lattice parameters (Å, degrees): 5.382 6.642 6.642 120.00 90.00 90.00
Element x y z (fractional)
Zn (0.000, 0.000, 0.000)
Zn (0.500, 0.000, 0.000)
Au (0.750, 0.194, 0.388)
Au (0.250, 0.806, 0.612)
Au (0.750, 0.194, 0.806)
Au (0.250, 0.806, 0.194)
Au (0.250, 0.388, 0.194)
Au (0.750, 0.612, 0.806)
Na (0.250, 0.333, 0.667)
Na (0.750, 0.667, 0.333)